An optimized crystal structure of RbBRh2. Source: Alexandria via LeMat-Bulk, functional PBE.

Cell: 6.337 6.337 8.782 Å, 90.00 90.00 90.00°
Fractional coordinates of all 16 atoms:
Rb 0.000 0.000 0.000
Rb 0.000 0.500 0.250
Rb 0.500 0.000 0.750
Rb 0.500 0.500 0.500
B 0.000 0.000 0.500
B 0.000 0.500 0.750
B 0.500 0.000 0.250
B 0.500 0.500 0.000
Rh 0.059 0.750 0.625
Rh 0.250 0.059 0.375
Rh 0.250 0.441 0.875
Rh 0.441 0.750 0.125
Rh 0.559 0.250 0.125
Rh 0.750 0.559 0.875
Rh 0.750 0.941 0.375
Rh 0.941 0.250 0.625

**Volume**: 22.0 Å³ per atom
**Spin magnetization**: 0.00 μB per formula unit
**Energy of formation**: 0.40 eV/atom
**ρ**: 5.69 g/cm³